# 1
A relaxed structure of Ba2CdCuNi, computed with PBE.

Cell and atoms, written as POSCAR:
```
Ba2CdCuNi
1.0
-1.9401 -0.2610 5.6124
1.2277 -5.8138 0.1541
4.2743 0.9429 1.5213
Ni Ba Cu Cd
1 2 1 1
Direct
0.0000 0.0000 0.0000 Ni
0.0000 0.5000 0.0000 Ba
0.5000 0.0000 0.0000 Ba
0.0000 0.0000 0.5000 Cu
0.5000 0.5000 0.5000 Cd
```

Summary:
Crystal system   tetragonal
Calculated volume   32.7 Å³ per atom
ΔH_f (0 K)   0.043 eV per atom
Final energy   -2.884 eV/atom


# 2
A relaxed structure of KRe, computed with PBE.

Cell and atoms, written as POSCAR:
```
KRe
1.0
-1.5051 0.0561 -3.8823
-4.0127 -0.8715 -0.6928
-3.8923 9.1478 -0.3995
K Re
2 2
Direct
0.9583 0.9583 0.1860 K
0.7917 0.7917 0.7307 K
0.5383 0.5383 0.4692 Re
0.2117 0.2117 0.4475 Re
```

Summary:
Crystal system   monoclinic
Calculated volume   36.4 Å³ per atom
Energy above the most stable polymorph in this dataset   95 meV/atom
ΔH_f (0 K)   0.925 eV per atom
Final energy   -5.848 eV/atom


# 3
A relaxed structure of Hg2Sb, computed with PBE.

Cell and atoms, written as POSCAR:
```
Hg2Sb
1.0
-2.3930 1.2365 -2.0570
2.9351 -1.1037 -1.2859
-3.0999 -7.3192 -0.7935
Hg Sb
2 1
Direct
0.6667 0.3333 0.6607 Hg
0.3333 0.6667 0.3393 Hg
0.0000 0.0000 0.0000 Sb
```

Summary:
Crystal system   trigonal
Uncorrected formation energy   0.46 eV per formula unit
Calculated volume   26.5 Å³ per atom
Energy above the most stable polymorph in this dataset   58 meV/atom
Final energy   -1.421 eV/atom


# 4
A relaxed structure of SrCa2, computed with PBE.

Cell and atoms, written as POSCAR:
```
SrCa2
1.0
-2.5614 3.0295 9.8288
-0.5299 -5.4403 -9.0811
4.1750 -4.5784 2.4992
Ca Sr
4 2
Direct
0.0013 0.9987 0.0000 Ca
0.6654 0.3346 0.0000 Ca
0.4431 0.5569 0.5000 Ca
0.7791 0.2209 0.5000 Ca
0.3330 0.6670 0.0000 Sr
0.1114 0.8886 0.5000 Sr
```

Summary:
Crystal system   orthorhombic
Calculated volume   46.3 Å³ per atom
Energy above the most stable polymorph in this dataset   2 meV/atom
ΔH_f (0 K)   0.016 eV per atom
Final energy   -1.879 eV/atom


# 5
A relaxed structure of TbPr5Nd3, computed with PBE.

Cell and atoms, written as POSCAR:
```
TbPr5Nd3
1.0
10.0461 2.1985 0.9056
4.8646 9.0605 0.9056
6.5340 4.9337 9.3423
Tb Pr Nd
2 10 6
Direct
0.1136 0.1136 0.6451 Tb
0.8864 0.8864 0.3549 Tb
0.9056 0.5190 0.3489 Pr
0.3158 0.6842 0.0000 Pr
0.8456 0.8456 0.9551 Pr
0.5592 0.5592 0.2969 Pr
0.4408 0.4408 0.7031 Pr
0.1544 0.1544 0.0449 Pr
0.5190 0.9056 0.3489 Pr
0.6842 0.3158 0.0000 Pr
0.0944 0.4810 0.6511 Pr
0.4810 0.0944 0.6511 Pr
0.7070 0.7070 0.8865 Nd
0.6396 0.6396 0.6699 Nd
0.0000 0.0000 0.0000 Nd
0.0000 0.0000 0.5000 Nd
0.2930 0.2930 0.1135 Nd
0.3604 0.3604 0.3301 Nd
```

Summary:
Crystal system   monoclinic
Calculated volume   38.1 Å³ per atom
ΔH_f (0 K)   0.364 eV per atom
Final energy   -4.395 eV/atom


# 6
A relaxed structure of Ba2NaHgAs, computed with PBE.

Cell and atoms, written as POSCAR:
```
Ba2NaHgAs
1.0
-0.4349 6.0591 2.0194
-5.1680 0.8555 -3.6797
-3.2096 -1.6081 4.1337
Na As Hg Ba
1 1 1 2
Direct
0.0000 0.0000 0.5000 Na
0.0000 0.0000 0.0000 As
0.5000 0.5000 0.5000 Hg
0.0000 0.5000 0.0000 Ba
0.5000 0.0000 0.0000 Ba
```

Summary:
Crystal system   tetragonal
Calculated volume   44.9 Å³ per atom
ΔH_f (0 K)   -0.489 eV per atom
Final energy   -2.512 eV/atom


# 7
A relaxed structure of Ba2Na2RhO6, computed with PBE.

Cell and atoms, written as POSCAR:
```
Ba2Na2RhO6
1.0
-0.4045 -5.0739 -3.8504
5.3483 3.4827 -0.0064
1.2934 -3.0638 4.8841
Ba Na Rh O
2 2 1 6
Direct
0.3382 0.6618 0.5000 Ba
0.6618 0.3382 0.5000 Ba
0.8792 0.1208 0.0000 Na
0.1208 0.8792 0.0000 Na
0.0000 0.0000 0.5000 Rh
0.7926 0.7926 0.7074 O
0.0316 0.2945 0.6900 O
0.2074 0.2074 0.2926 O
0.2945 0.0316 0.6900 O
0.9684 0.7055 0.3100 O
0.7055 0.9684 0.3100 O
```

Summary:
Crystal system   monoclinic
Uncorrected formation energy   -16.70 eV per formula unit
Calculated volume   18.7 Å³ per atom
Final energy   -5.481 eV/atom


# 8
A relaxed structure of AlFeSbPd2, computed with PBE.

Cell and atoms, written as POSCAR:
```
AlFeSbPd2
1.0
4.9427 0.0000 0.0000
0.0000 5.0647 0.0000
0.0000 0.0000 4.9427
Sb Fe Pd Al
1 1 2 1
Direct
0.0000 0.0000 0.0000 Sb
0.5000 0.5000 0.5000 Fe
0.0000 0.0000 0.5000 Pd
0.5000 0.0000 0.0000 Pd
0.0000 0.5000 0.0000 Al
```

Summary:
Crystal system   tetragonal
Uncorrected formation energy   4.84 eV per formula unit
Calculated volume   24.7 Å³ per atom
Final energy   -4.374 eV/atom